# 1
3
Lattice="-1.821 1.821 6.651 1.821 -1.821 6.651 1.821 1.821 -6.651" Properties=species:S:1:pos:R:3 comment="SrErPd GGA-PBE relaxed" polymorph_energy_ev_per_atom=0.000 pbc="T T T"
Sr 0.000 0.000 0.000
Er 0.000 0.000 3.503
Pd 0.000 0.000 8.827

=====

# 2
VASP calculation (GGA-PBE) on crystalline SrEr2Pd3 at its relaxed geometry.

Geometry as extended XYZ:
```
6
Lattice="3.523 0.000 0.000 0.000 3.523 0.000 0.000 0.000 10.949" Properties=species:S:1:pos:R:3 pbc="T T T"
Sr 0.000 0.000 0.000
Er 0.000 0.000 3.725
Er 0.000 0.000 7.224
Pd 1.761 1.761 2.231
Pd 1.761 1.761 5.474
Pd 1.761 1.761 8.718
```

=====

# 3
6
Lattice="5.899 -1.909 0.000 5.899 1.909 0.000 -0.330 0.000 8.245" Properties=species:S:1:pos:R:3 comment="SrErPd GGA-PBE relaxed" polymorph_energy_ev_per_atom=0.118 pbc="T T T"
Sr 1.504 0.000 2.962
Sr 9.964 0.000 5.283
Er 1.270 0.000 7.334
Er 10.198 0.000 0.911
Pd 4.803 0.000 2.858
Pd 6.666 0.000 5.387

=====

# 4
VASP calculation (GGA-PBE) on crystalline Sr2Er2Pd15 at its relaxed geometry.

Geometry as extended XYZ:
```
19
Lattice="4.672 2.697 4.713 -4.672 2.697 4.713 0.000 -5.394 4.713" Properties=species:S:1:pos:R:3 pbc="T T T"
Sr 0.000 0.000 1.997
Sr 0.000 0.000 12.143
Er 0.000 0.000 5.528
Er 0.000 0.000 8.613
Pd -2.336 -1.349 4.713
Pd 0.000 -2.700 4.516
Pd -2.338 1.350 4.516
Pd -1.384 -2.398 7.070
Pd -2.768 0.000 7.070
Pd -2.338 -1.350 9.625
Pd -2.336 1.349 9.427
Pd 1.384 -2.398 7.070
Pd 0.000 2.697 4.713
Pd -1.384 2.398 7.070
Pd 2.338 1.350 4.516
Pd 2.768 0.000 7.070
Pd 1.384 2.398 7.070
Pd 2.338 -1.350 9.625
Pd 0.000 2.700 9.625
```

=====

# 5
VASP calculation (GGA-PBE) on crystalline SrEr4Pd5 at its relaxed geometry.

Geometry as extended XYZ:
```
10
Lattice="3.508 0.000 0.000 0.000 3.508 0.000 0.000 0.000 17.879" Properties=species:S:1:pos:R:3 pbc="T T T"
Sr 0.000 0.000 0.000
Er 0.000 0.000 3.736
Er 0.000 0.000 7.218
Er 0.000 0.000 10.661
Er 0.000 0.000 14.143
Pd 1.754 1.754 2.231
Pd 1.754 1.754 5.522
Pd 1.754 1.754 8.940
Pd 1.754 1.754 12.357
Pd 1.754 1.754 15.649
```

=====

# 6
VASP calculation (GGA-PBE) on crystalline SrErZnPd at its relaxed geometry.

Geometry as extended XYZ:
```
4
Lattice="0.000 3.636 3.636 3.636 0.000 3.636 3.636 3.636 0.000" Properties=species:S:1:pos:R:3 pbc="T T T"
Sr 0.000 0.000 0.000
Er 3.636 3.636 3.636
Zn 5.455 5.455 5.455
Pd 1.818 1.818 1.818
```

=====

# 7
VASP calculation (GGA-PBE) on crystalline ErTaPd6 at its relaxed geometry.

Geometry as extended XYZ:
```
8
Lattice="4.028 0.000 0.000 0.000 4.028 0.000 0.000 0.000 8.081" Properties=species:S:1:pos:R:3 pbc="T T T"
Er 0.000 0.000 0.000
Ta 0.000 0.000 4.040
Pd 0.000 2.014 2.135
Pd 0.000 2.014 5.946
Pd 2.014 0.000 2.135
Pd 2.014 0.000 5.946
Pd 2.014 2.014 0.000
Pd 2.014 2.014 4.040
```

=====

# 8
VASP calculation (GGA-PBE) on crystalline ErTa2Pd9 at its relaxed geometry.

Geometry as extended XYZ:
```
12
Lattice="4.006 0.000 0.000 0.000 4.006 0.000 0.000 0.000 12.086" Properties=species:S:1:pos:R:3 pbc="T T T"
Er 0.000 0.000 0.000
Ta 0.000 0.000 4.022
Ta 0.000 0.000 8.063
Pd 0.000 2.003 2.151
Pd 0.000 2.003 6.043
Pd 0.000 2.003 9.934
Pd 2.003 0.000 2.151
Pd 2.003 0.000 6.043
Pd 2.003 0.000 9.934
Pd 2.003 2.003 0.000
Pd 2.003 2.003 4.107
Pd 2.003 2.003 7.979
```

=====

# 9
VASP calculation (GGA-PBE) on crystalline Er3TaPd12 at its relaxed geometry.

Geometry as extended XYZ:
```
16
Lattice="4.066 0.000 0.000 0.000 4.066 0.000 0.000 0.000 16.273" Properties=species:S:1:pos:R:3 pbc="T T T"
Er 0.000 0.000 0.000
Er 0.000 0.000 4.067
Er 0.000 0.000 12.207
Ta 0.000 0.000 8.137
Pd 0.000 2.033 2.078
Pd 0.000 2.033 6.266
Pd 0.000 2.033 10.007
Pd 0.000 2.033 14.196
Pd 2.033 0.000 2.078
Pd 2.033 0.000 6.266
Pd 2.033 0.000 10.007
Pd 2.033 0.000 14.196
Pd 2.033 2.033 0.000
Pd 2.033 2.033 4.179
Pd 2.033 2.033 8.137
Pd 2.033 2.033 12.094
```

=====

# 10
VASP calculation (GGA-PBE) on crystalline ErTaPd14 at its relaxed geometry.

Geometry as extended XYZ:
```
16
Lattice="5.696 0.000 0.000 0.000 5.696 0.000 0.000 0.000 7.856" Properties=species:S:1:pos:R:3 pbc="T T T"
Er 0.000 0.000 0.000
Ta 2.848 2.848 0.000
Pd 0.000 0.000 3.928
Pd 0.000 2.848 0.000
Pd 0.000 2.848 3.928
Pd 1.458 1.458 1.953
Pd 1.458 1.458 5.903
Pd 1.458 4.238 1.953
Pd 1.458 4.238 5.903
Pd 2.848 0.000 0.000
Pd 2.848 0.000 3.928
Pd 2.848 2.848 3.928
Pd 4.238 1.458 1.953
Pd 4.238 1.458 5.903
Pd 4.238 4.238 1.953
Pd 4.238 4.238 5.903
```

=====

# 11
14
Lattice="4.577 -5.194 0.000 4.577 5.194 0.000 -0.238 0.000 7.054" Properties=species:S:1:pos:R:3 comment="TbEr3Pd3 GGA-PBE relaxed" polymorph_energy_ev_per_atom=0.008 pbc="T T T"
Tb 2.070 0.000 2.664
Tb 6.846 0.000 4.390
Er 1.193 0.000 6.104
Er 4.458 2.586 3.527
Er 4.577 1.839 0.000
Er 4.577 -1.839 0.000
Er 4.458 -2.586 3.527
Er 7.723 0.000 0.950
Pd 2.169 2.626 5.490
Pd 3.848 0.000 4.899
Pd 6.747 2.626 1.565
Pd 2.169 -2.626 5.490
Pd 5.068 0.000 2.155
Pd 6.747 -2.626 1.565

=====

# 12
4
Lattice="1.849 1.068 9.493 -1.849 1.068 9.493 0.000 -2.135 9.493" Properties=species:S:1:pos:R:3 comment="TbEr2Pd GGA-PBE relaxed" polymorph_energy_ev_per_atom=0.171 pbc="T T T"
Tb 0.000 0.000 0.000
Er 0.000 0.000 16.063
Er 0.000 0.000 21.837
Pd 0.000 0.000 4.706

=====

# 13
VASP calculation (GGA-PBE) on crystalline Tb2Er3Pd3 at its relaxed geometry.

Geometry as extended XYZ:
```
8
Lattice="-1.770 2.565 10.435 1.770 -2.565 10.435 1.770 2.565 -10.435" Properties=species:S:1:pos:R:3 pbc="T T T"
Tb 0.000 0.000 4.732
Tb 0.000 0.000 16.139
Er 0.000 0.000 0.000
Er 1.770 0.000 8.036
Er 0.000 2.565 2.399
Pd 1.770 0.000 2.368
Pd 0.000 0.000 10.435
Pd 0.000 2.565 8.067
```

=====

# 14
VASP calculation (GGA-PBE) on crystalline Tb5Er2Pd4 at its relaxed geometry.

Geometry as extended XYZ:
```
11
Lattice="11.572 -1.871 0.000 11.572 1.871 0.000 -2.202 0.000 6.867" Properties=species:S:1:pos:R:3 pbc="T T T"
Tb 0.000 0.000 0.000
Tb 7.136 0.000 4.143
Tb 8.510 0.000 0.830
Tb 12.432 0.000 6.037
Tb 13.806 0.000 2.724
Er 3.713 0.000 5.345
Er 17.229 0.000 1.522
Pd 0.494 0.000 3.954
Pd 9.943 0.000 4.761
Pd 10.998 0.000 2.106
Pd 20.448 0.000 2.913
```

=====

# 15
7
Lattice="6.304 -1.852 0.000 6.304 1.852 0.000 -6.091 0.000 8.143" Properties=species:S:1:pos:R:3 comment="Tb3Er2Pd2 GGA-PBE relaxed" polymorph_energy_ev_per_atom=0.118 pbc="T T T"
Tb 0.000 0.000 0.000
Tb -2.360 0.000 5.764
Tb 8.877 0.000 2.380
Er 1.081 0.000 5.099
Er 5.436 0.000 3.045
Pd 4.071 0.000 0.604
Pd 2.447 0.000 7.540

=====

# 16
VASP calculation (GGA-PBE) on crystalline TbEr2Pd9 at its relaxed geometry.

Geometry as extended XYZ:
```
12
Lattice="4.115 0.000 0.000 0.000 4.115 0.000 0.000 0.000 12.338" Properties=species:S:1:pos:R:3 pbc="T T T"
Tb 0.000 0.000 0.000
Er 0.000 0.000 4.129
Er 0.000 0.000 8.209
Pd 0.000 2.058 2.081
Pd 0.000 2.058 6.169
Pd 0.000 2.058 10.257
Pd 2.058 0.000 2.081
Pd 2.058 0.000 6.169
Pd 2.058 0.000 10.257
Pd 2.058 2.058 0.000
Pd 2.058 2.058 4.119
Pd 2.058 2.058 8.219
```

=====

# 17
VASP calculation (GGA-PBE) on crystalline Tb6ErPd3 at its relaxed geometry.

Geometry as extended XYZ:
```
20
Lattice="5.737 -6.613 0.000 5.737 6.613 0.000 0.000 0.000 7.206" Properties=species:S:1:pos:R:3 pbc="T T T"
Tb 2.600 2.571 2.394
Tb 5.737 6.127 3.603
Tb 5.737 3.558 0.985
Tb 3.798 0.521 7.117
Tb 3.798 -0.521 3.514
Tb 2.600 -2.571 5.997
Tb 8.874 2.571 2.394
Tb 7.676 0.521 7.117
Tb 7.676 -0.521 3.514
Tb 5.737 -3.558 4.588
Tb 5.737 -6.127 0.000
Tb 8.874 -2.571 5.997
Er 5.737 2.364 4.448
Er 5.737 -2.364 0.845
Pd 2.147 1.321 5.052
Pd 2.147 -1.321 1.449
Pd 5.737 1.000 2.041
Pd 5.737 -1.000 5.644
Pd 9.327 1.321 5.052
Pd 9.327 -1.321 1.449
```

=====

# 18
14
Lattice="7.832 0.000 0.000 0.000 6.359 0.000 -3.176 0.000 7.503" Properties=species:S:1:pos:R:3 comment="Tb4ErPd2 GGA-PBE relaxed" polymorph_energy_ev_per_atom=0.000 pbc="T T T"
Tb -1.080 1.590 2.938
Tb 0.803 4.769 2.600
Tb 0.740 0.033 5.800
Tb 0.740 3.146 5.800
Tb 3.916 3.213 1.703
Tb 3.916 6.326 1.703
Tb 3.853 1.590 4.903
Tb 5.737 4.769 4.565
Er 1.138 1.590 0.219
Er 3.518 4.769 7.283
Pd -1.358 4.769 7.429
Pd 1.666 1.590 3.130
Pd 2.990 4.769 4.373
Pd 6.014 1.590 0.073

=====

# 19
14
Lattice="7.790 0.000 0.000 0.000 6.330 0.000 -3.103 0.000 7.427" Properties=species:S:1:pos:R:3 comment="TbEr4Pd2 GGA-PBE relaxed" polymorph_energy_ev_per_atom=0.000 pbc="T T T"
Tb 1.126 1.583 0.179
Tb 3.561 4.748 7.248
Er -1.055 1.583 2.914
Er 0.842 4.748 2.589
Er 0.780 0.024 5.716
Er 0.780 3.141 5.716
Er 3.906 3.189 1.711
Er 3.906 6.307 1.711
Er 3.844 1.583 4.839
Er 5.741 4.748 4.513
Pd -1.190 4.748 7.365
Pd 1.674 1.583 3.117
Pd 3.012 4.748 4.311
Pd 5.877 1.583 0.062

=====

# 20
VASP calculation (GGA-PBE) on crystalline Tb3ErPd6 at its relaxed geometry.

Geometry as extended XYZ:
```
20
Lattice="8.115 0.000 0.000 0.000 4.629 0.000 -2.690 0.000 10.978" Properties=species:S:1:pos:R:3 pbc="T T T"
Tb -0.221 1.157 1.322
Tb -0.725 1.157 7.560
Tb 1.156 3.472 5.562
Tb 4.269 1.157 5.415
Tb 6.150 3.472 3.417
Tb 5.646 3.472 9.655
Er 3.047 3.472 0.995
Er 2.377 1.157 9.982
Pd -0.628 1.157 4.582
Pd 0.699 3.472 2.688
Pd -0.601 1.157 10.403
Pd 2.022 1.157 3.442
Pd 0.748 3.472 8.827
Pd 1.975 1.157 7.205
Pd 3.449 3.472 3.773
Pd 4.676 1.157 2.151
Pd 3.403 3.472 7.536
Pd 6.026 3.472 0.574
Pd 4.726 1.157 8.289
Pd 6.053 3.472 6.395
```

=====

# 21
10
Lattice="8.580 -2.596 0.000 8.580 2.596 0.000 -0.656 0.000 6.230" Properties=species:S:1:pos:R:3 comment="TbEr3Pd GGA-PBE relaxed" polymorph_energy_ev_per_atom=0.000 pbc="T T T"
Tb 1.303 0.000 2.272
Tb 15.201 0.000 3.959
Er 2.532 0.000 5.611
Er 4.757 0.000 2.727
Er 7.778 0.000 1.426
Er 8.726 0.000 4.804
Er 11.747 0.000 3.503
Er 13.972 0.000 0.620
Pd 5.513 0.000 5.407
Pd 10.991 0.000 0.824

=====

Number 1: total magnetization 0.0 μB/cell, formation energy -1.41 eV/f.u.. Number 2: total magnetization 0.0 μB/cell, formation energy -4.96 eV/f.u.. Number 3: total magnetization 0.0 μB/cell, formation energy -1.06 eV/f.u.. Number 4: total magnetization 0.0 μB/cell, formation energy -9.78 eV/f.u.. Number 5: total magnetization 0.0 μB/cell, formation energy -8.61 eV/f.u.. Number 6: total magnetization 0.0 μB/cell, formation energy -1.57 eV/f.u.. Number 7: total magnetization 0.0 μB/cell, formation energy -5.58 eV/f.u.. Number 8: total magnetization 0.0 μB/cell, formation energy -6.77 eV/f.u.. Number 9: total magnetization 0.0 μB/cell, formation energy -13.08 eV/f.u.. Number 10: total magnetization 0.0 μB/cell, formation energy -5.74 eV/f.u.. Number 11: total magnetization 0.0 μB/cell, formation energy -4.98 eV/f.u.. Number 12: total magnetization 0.1 μB/cell, formation energy -1.25 eV/f.u.. Number 13: total magnetization 0.0 μB/cell, formation energy -5.16 eV/f.u.. Number 14: total magnetization 0.0 μB/cell, formation energy -3.86 eV/f.u.. Number 15: total magnetization 0.0 μB/cell, formation energy -2.79 eV/f.u.. Number 16: total magnetization 0.0 μB/cell, formation energy -10.62 eV/f.u.. Number 17: total magnetization 0.0 μB/cell, formation energy -4.92 eV/f.u.. Number 18: total magnetization 0.0 μB/cell, formation energy -2.99 eV/f.u.. Number 19: total magnetization 0.0 μB/cell, formation energy -3.17 eV/f.u.. Number 20: total magnetization 0.0 μB/cell, formation energy -8.51 eV/f.u.. Number 21: total magnetization 0.0 μB/cell, formation energy -1.38 eV/f.u..